1.
ScAl2Tc after structural relaxation. Source: Alexandria, functional GGA-PBE.

Cell lengths 4.197, 4.197, 7.317 Å; angles 90.00, 90.00, 90.00 degrees
Space group I4/mmm (No. 139)
Inequivalent atoms, fractional coordinates:
Sc1 0.000 0.000 0.000 x2
Al1 0.000 0.500 0.250 x4
Tc1 0.000 0.000 0.500 x2

For the total energy, the calculation gives -51.64 eV per cell. Its magnetic moment is 0.0 μB per formula unit. Its formation energy is -0.410 eV per atom. The calculation puts the offset from the most stable computed form at 4 meV per atom. The density of states at the Fermi level is 0.65 states/eV/atom.

***

2.
CeUPdPt after structural relaxation. Source: Alexandria, functional GGA-PBE.

Cell lengths 6.743, 6.743, 6.743 Å; angles 90.00, 90.00, 90.00 degrees
Space group F-43m (No. 216)
Inequivalent atoms, fractional coordinates:
Ce1 0.000 0.000 0.000 x4
U1 0.250 0.250 0.750 x4
Pd1 0.250 0.250 0.250 x4
Pt1 0.000 0.000 0.500 x4

For the total energy, the calculation gives -124.55 eV per cell. Its magnetic moment is 2.2 μB per formula unit. Its formation energy is -0.671 eV per atom. The density of states at the Fermi level is 2.60 states/eV/atom.

***

What did the first record say?
ScAl2Tc after structural relaxation. Source: Alexandria, functional GGA-PBE.

Cell lengths 4.197, 4.197, 7.317 Å; angles 90.00, 90.00, 90.00 degrees
Space group I4/mmm (No. 139)
Inequivalent atoms, fractional coordinates:
Sc1 0.000 0.000 0.000 x2
Al1 0.000 0.500 0.250 x4
Tc1 0.000 0.000 0.500 x2

For the total energy, the calculation gives -51.64 eV per cell. Its magnetic moment is 0.0 μB per formula unit. Its formation energy is -0.410 eV per atom. The calculation puts the offset from the most stable computed form at 4 meV per atom. The density of states at the Fermi level is 0.65 states/eV/atom.